(1)
Here is an optimized crystal structure of Dy3MgP2Rh9 from Alexandria via LeMat-Bulk. Energies are from PBE-GGA.

Cell: 6.2299 6.2299 8.0033 Å, 90.00 90.00 120.00°
Last column: nearest neighbours and their distance in Å.
Element x y z (fractional)
Rh: 0.8330 0.6661 0.6889  1 P 2.15, 1 Mg 2.35
Rh: 0.0000 0.5000 0.0000  2 P 2.22
Rh: 0.1670 0.8330 0.3111  1 P 2.15, 1 Mg 2.35
Rh: 0.6661 0.8330 0.3111  1 P 2.15, 1 Mg 2.35
Rh: 0.5000 0.0000 0.0000  2 P 2.22
Rh: 0.5000 0.5000 0.0000  2 P 2.22
Rh: 0.8330 0.1670 0.6889  1 P 2.15, 1 Mg 2.35
Rh: 0.1670 0.3339 0.3111  1 P 2.15, 1 Mg 2.35
Rh: 0.3339 0.1670 0.6889  1 P 2.15, 1 Mg 2.35
Dy: 0.0000 0.0000 0.0000  12 Rh 3.07-3.11
Dy: 0.6667 0.3333 0.3499  12 Rh 3.13-3.33
Dy: 0.3333 0.6667 0.6501  12 Rh 3.13-3.33
P: 0.6667 0.3333 0.8370  6 Rh 2.15-2.22
P: 0.3333 0.6667 0.1630  6 Rh 2.15-2.22
Mg: 0.0000 0.0000 0.5000  6 Rh 2.35

* final energy: -6.711 eV per atom
* magnetization: 0.000 Bohr magnetons per cell
* symmetry: P-3m1

=====

(2)
Here is an optimized crystal structure of DyMg2Pa from Alexandria via LeMat-Bulk. Energies are from PBE-GGA.

Cell: 3.1525 3.1525 12.4468 Å, 82.72 82.72 60.00°
Last column: nearest neighbours and their distance in Å.
Element x y z (fractional)
Mg: 0.0878 0.0878 0.7366  6 Mg 3.15, 1 Pa 3.24, 3 Dy 3.43
Mg: 0.9122 0.9122 0.2634  6 Mg 3.15, 1 Pa 3.24, 3 Dy 3.43
Dy: 0.5000 0.5000 0.5000  6 Dy 3.15, 6 Mg 3.43
Pa: 0.0000 0.0000 0.0000  6 Pa 3.15, 2 Mg 3.24

* final energy: -4.011 eV per atom
* magnetization: 0.009 Bohr magnetons per cell
* symmetry: R-3m

=====

(3)
Here is an optimized crystal structure of DyMg2Pa from Alexandria via LeMat-Bulk. Energies are from PBE-GGA.

Cell: 3.1980 3.1980 9.9339 Å, 90.00 90.00 90.00°
Last column: nearest neighbours and their distance in Å.
Element x y z (fractional)
Mg: 0.0000 0.0000 0.7489  4 Mg 3.20, 4 Pa 3.35, 4 Dy 3.37
Mg: 0.0000 0.0000 0.2511  4 Mg 3.20, 4 Pa 3.35, 4 Dy 3.37
Dy: 0.5000 0.5000 0.0000  4 Dy 3.20, 8 Mg 3.37
Pa: 0.5000 0.5000 0.5000  4 Pa 3.20, 8 Mg 3.35

* final energy: -4.160 eV per atom
* magnetization: 0.738 Bohr magnetons per cell
* symmetry: P4/mmm

=====

(4)
Here is an optimized crystal structure of PrDyMgPa from Alexandria via LeMat-Bulk. Energies are from PBE-GGA.

Cell: 5.4479 5.4479 5.4479 Å, 60.00 60.00 60.00°
Last column: nearest neighbours and their distance in Å.
Element x y z (fractional)
Dy: 0.2500 0.2500 0.2500  4 Mg 3.34, 4 Pa 3.34
Mg: 0.0000 0.0000 0.0000  4 Pr 3.34, 4 Dy 3.34
Pa: 0.5000 0.5000 0.5000  4 Dy 3.34, 4 Pr 3.34
Pr: 0.7500 0.7500 0.7500  4 Mg 3.34, 4 Pa 3.34

* final energy: -4.776 eV per atom
* magnetization: 0.001 Bohr magnetons per cell
* symmetry: F-43m

=====

(5)
Here is an optimized crystal structure of Dy2MgPaS6 from Alexandria via LeMat-Bulk. Energies are from PBE-GGA.

Cell: 6.4068 6.4482 6.4482 Å, 90.00 90.00 90.00°
Last column: nearest neighbours and their distance in Å.
Element x y z (fractional)
S: 0.7505 0.7579 0.2421  1 Mg 2.54, 1 Pa 2.61, 2 Dy 2.73
S: 0.7505 0.2421 0.2421  1 Mg 2.54, 1 Pa 2.61, 2 Dy 2.73
S: 0.1844 0.0000 0.0000  1 Mg 2.38
S: 0.7505 0.2421 0.7579  1 Mg 2.54, 1 Pa 2.61, 2 Dy 2.73
S: 0.1639 0.5000 0.5000  1 Pa 2.62
S: 0.7505 0.7579 0.7579  1 Mg 2.54, 1 Pa 2.61, 2 Dy 2.73
Dy: 0.9842 0.5000 0.0000  4 S 2.73
Dy: 0.9842 0.0000 0.5000  4 S 2.73
Mg: 0.5553 0.0000 0.0000  5 S 2.38-2.54
Pa: 0.5727 0.5000 0.5000  5 S 2.61-2.62

* magnetization: 1.012 Bohr magnetons per cell
* symmetry: P4mm
* formation energy without anion corrections: -1.4095 eV/atom

=====

(6)
Here is an optimized crystal structure of DyMg2PaS6 from Alexandria via LeMat-Bulk. Energies are from PBE-GGA.

Cell: 6.6616 6.6618 7.1709 Å, 62.32 62.32 60.00°
Last column: nearest neighbours and their distance in Å.
Element x y z (fractional)
Mg: 0.0161 0.0161 0.9517  6 S 2.57-2.73
Mg: 0.5110 0.5110 0.4672  6 S 2.58-2.70
S: 0.2295 0.8964 0.2529  2 Mg 2.58-2.73, 1 Pa 2.65, 1 Dy 2.71
S: 0.8964 0.6212 0.2529  2 Mg 2.58-2.73, 1 Pa 2.65, 1 Dy 2.71
S: 0.7315 0.1063 0.7507  2 Mg 2.57-2.70, 1 Pa 2.66, 1 Dy 2.76
S: 0.4115 0.7315 0.7507  2 Mg 2.57-2.70, 1 Pa 2.66, 1 Dy 2.76
S: 0.6212 0.2295 0.2529  2 Mg 2.58-2.73, 1 Pa 2.65, 1 Dy 2.71
S: 0.1063 0.4115 0.7507  2 Mg 2.57-2.70, 1 Pa 2.66, 1 Dy 2.76
Dy: 0.3164 0.3164 0.0508  6 S 2.71-2.76
Pa: 0.8218 0.8218 0.5347  6 S 2.65-2.66

* magnetization: 0.000 Bohr magnetons per cell
* symmetry: R3
* formation energy without anion corrections: -1.5898 eV/atom

=====

(7)
Here is an optimized crystal structure of DyMgScPa from Alexandria via LeMat-Bulk. Energies are from PBE-GGA.

Cell: 5.2818 5.2818 5.2818 Å, 60.00 60.00 60.00°
Last column: nearest neighbours and their distance in Å.
Element x y z (fractional)
Sc: 0.7500 0.7500 0.7500  4 Mg 3.23, 4 Pa 3.23
Mg: 0.5000 0.5000 0.5000  4 Dy 3.23, 4 Sc 3.23
Pa: 0.0000 0.0000 0.0000  4 Dy 3.23, 4 Sc 3.23
Dy: 0.2500 0.2500 0.2500  4 Pa 3.23, 4 Mg 3.23

* final energy: -5.172 eV per atom
* magnetization: 2.315 Bohr magnetons per cell
* symmetry: F-43m

=====

(8)
Here is an optimized crystal structure of DyThMgPa from Alexandria via LeMat-Bulk. Energies are from PBE-GGA.

Cell: 5.4150 5.4150 5.4150 Å, 60.00 60.00 60.00°
Last column: nearest neighbours and their distance in Å.
Element x y z (fractional)
Th: 0.2500 0.2500 0.2500  4 Mg 3.32, 4 Pa 3.32
Mg: 0.5000 0.5000 0.5000  4 Th 3.32, 4 Dy 3.32
Dy: 0.7500 0.7500 0.7500  4 Pa 3.32, 4 Mg 3.32
Pa: 0.0000 0.0000 0.0000  4 Dy 3.32, 4 Th 3.32

* final energy: -5.484 eV per atom
* magnetization: 0.001 Bohr magnetons per cell
* symmetry: F-43m